[1]
Below is a relaxed structure of Sm3Ge8Rh3, with properties calculated at the PBE level.

As for the total energy: -163.6 eV per cell. Its calculated density is 8.22 g/cm³. The formation energy is -0.6170 eV/atom.

It has space group C2/m (No. 12), with a = 16.174 Å, b = 4.429 Å, c = 8.637 Å, α = 90.00°, β = 118.83° and γ = 90.00°. The distinct sites, in fractional coordinates, are Sm at (0.000, 0.000, 0.000), Sm at (0.215, 0.500, 0.684), Ge at (0.018, 0.500, 0.693), Ge at (0.123, 0.000, 0.409), Ge at (0.135, 0.500, 0.266), Ge at (0.168, 0.000, 0.890), Rh at (0.000, 0.000, 0.500) and Rh at (0.154, 0.500, 0.003).


[2]
Below is a relaxed structure of ThTaOs2, with properties calculated at the PBE level.

As for the total energy: -42.6 eV per cell. Its calculated density is 17.33 g/cm³. The formation energy is -0.2287 eV/atom.

It has space group P4/mmm (No. 123), with a = 3.193 Å, b = 3.193 Å, c = 7.457 Å, α = 90.00°, β = 90.00° and γ = 90.00°. The distinct sites, in fractional coordinates, are Th at (0.000, 0.000, 0.000), Ta at (0.000, 0.000, 0.500) and Os at (0.500, 0.500, 0.295).


[3]
Below is a relaxed structure of Sm12Y6Sc, with properties calculated at the PBE level.

As for the total energy: -297.0 eV per cell. Its calculated density is 6.21 g/cm³. The formation energy is 0.1452 eV/atom. The energy above the most stable polymorph in this dataset comes out at 0.00 kcal/mol of atoms.

It has space group R-3 (No. 148, hexagonal axes), with a = 12.1055 Å, b = 12.1055 Å, c = 15.0524 Å, α = 90.00°, β = 90.00° and γ = 120.00°. The distinct sites, in fractional coordinates, are Sm at (0.0020, 0.8314, 0.1895), Sm at (0.0478, 0.8518, 0.4158), Y at (0.0173, 0.4266, 0.6879) and Sc at (0.0000, 0.0000, 0.0000).


[4]
Below is a relaxed structure of Ce8Ge2Te3, with properties calculated at the PBE level.

As for the total energy: -146.9 eV per cell. As for the energy relative to the elements, uncorrected: -0.563 eV per atom. Its calculated density is 7.14 g/cm³.

It has space group C2/m (No. 12), with a = 13.544 Å, b = 8.283 Å, c = 6.852 Å, α = 90.00°, β = 93.67° and γ = 90.00°. The distinct sites, in fractional coordinates, are Ce at (0.117, 0.170, 0.388), Ce at (0.152, 0.000, 0.892), Ce at (0.166, 0.500, 0.869), Ge at (0.212, 0.500, 0.419), Te at (0.000, 0.263, 0.000) and Te at (0.000, 0.500, 0.500).


[5]
Below is a relaxed structure of Rb2HfFeBr6, with properties calculated at the PBE level.

As for the total energy: -164.0 eV per cell. As for the energy relative to the elements, uncorrected: -1.061 eV per atom. Its calculated density is 4.81 g/cm³.

It has space group Fm-3m (No. 225), with a = 10.687 Å, b = 10.687 Å, c = 10.687 Å, α = 90.00°, β = 90.00° and γ = 90.00°. The distinct sites, in fractional coordinates, are Rb at (0.250, 0.250, 0.250), Hf at (0.000, 0.000, 0.000), Fe at (0.000, 0.000, 0.500) and Br at (0.000, 0.000, 0.251).


[6]
Below is a relaxed structure of RuRh2Au, with properties calculated at the PBE level.

As for the total energy: -52.6 eV per cell. Its calculated density is 13.96 g/cm³. The formation energy is 0.2416 eV/atom. The energy above the most stable polymorph in this dataset comes out at 3.81 kcal/mol of atoms.

It has space group I-4m2 (No. 119), with a = 3.893 Å, b = 3.893 Å, c = 7.909 Å, α = 90.00°, β = 90.00° and γ = 90.00°. The distinct sites, in fractional coordinates, are Ru at (0.000, 0.000, 0.000), Rh at (0.000, 0.000, 0.500), Rh at (0.000, 0.500, 0.250) and Au at (0.000, 0.500, 0.750).